Here is a crystal of ZrAgW2 relaxed with PBEsol from Alexandria. Energies are from meta-GGA SCAN.

Geometry as extended XYZ:
```
4
Lattice="-3.133 1.622 -0.169 -2.083 -4.053 -0.286 2.303 1.071 4.504" Properties=species:S:1:pos:R:3 pbc="T T T"
Ag -1.715 0.741 2.004
W -2.903 -1.355 3.901
W -1.203 -2.103 2.118
Zr -2.614 -1.218 -0.149
```

Computed properties:
The calculation puts the size of the total moment at 0.0 Bohr magnetons per cell. Its crystal system is orthorhombic. Its formation energy from the elements is 40.86 kJ per mole of atoms. The energy relative to the lowest polymorph listed for this composition is 0.038 eV/atom.

---

Here is a crystal of ZrAgW2 relaxed with PBEsol from Alexandria. Energies are from meta-GGA SCAN.

Geometry as extended XYZ:
```
4
Lattice="2.711 -0.003 0.000 -0.715 5.202 0.000 -0.998 -2.599 4.805" Properties=species:S:1:pos:R:3 pbc="T T T"
Ag -0.358 2.601 0.000
W -0.499 -1.300 2.402
W 0.499 1.300 2.402
Zr 1.356 -0.002 0.000
```

Computed properties:
The calculation puts the size of the total moment at 0.0 Bohr magnetons per cell. Its crystal system is monoclinic. Its formation energy from the elements is 38.76 kJ per mole of atoms. The energy relative to the lowest polymorph listed for this composition is 0.016 eV/atom.

---

Here is a crystal of ZrAgW relaxed with PBEsol from Alexandria. Energies are from meta-GGA SCAN.

Geometry as extended XYZ:
```
3
Lattice="2.635 0.000 0.000 0.000 4.841 0.000 0.000 -2.420 4.192" Properties=species:S:1:pos:R:3 pbc="T T T"
Ag 2.193 0.000 0.000
W 2.197 0.000 2.795
Zr 0.879 2.420 1.397
```

Computed properties:
The calculation puts the size of the total moment at 0.0 Bohr magnetons per cell. Its crystal system is hexagonal. Its formation energy from the elements is 43.29 kJ per mole of atoms.